1.
# Al2CoReCl

A relaxed Al2CoReCl crystal (GGA-PBE, Alexandria).

Cell and atoms, written as POSCAR:
```
Al2CoReCl
1.0
4.5110 0.0000 0.0000
0.0000 4.5110 0.0000
0.0000 0.0000 3.9097
Al Co Re Cl
2 1 1 1
direct
0.0000 0.5000 0.0000
0.5000 0.0000 0.0000
0.0000 0.0000 0.5000
0.5000 0.5000 0.5000
0.0000 0.0000 0.0000
```

Values from the calculation:
SG: P4/mmm
calculated density: 6.98 g/cm³
VASP energy: -23.44 eV/cell
DOS at the Fermi energy: 3.90 states/eV per cell

---

2.
# AlCoSCl2

A relaxed AlCoSCl2 crystal (GGA-PBE, Alexandria).

Cell and atoms, written as POSCAR:
```
AlCoSCl2
1.0
4.7518 0.0000 0.0000
0.0000 4.7518 0.0000
0.0000 0.0000 4.4159
Al Co S Cl
1 1 1 2
direct
0.0000 0.0000 0.0000
0.5000 0.5000 0.5000
0.5000 0.5000 0.0000
0.0000 0.5000 0.5000
0.5000 0.0000 0.5000
```

Values from the calculation:
SG: P4/mmm
calculated density: 3.15 g/cm³
DOS at the Fermi energy: 3.92 states/eV per cell
energy above the most stable polymorph in this dataset: 0.000 eV per atom

---

3.
# AlCoSCl2

A relaxed AlCoSCl2 crystal (GGA-PBE, Alexandria).

Cell and atoms, written as POSCAR:
```
AlCoSCl2
1.0
4.6101 0.0000 0.0000
0.0000 4.6101 0.0000
0.0000 0.0000 4.8081
Al Co S Cl
1 1 1 2
direct
0.0000 0.0000 0.0000
0.5000 0.5000 0.5000
0.0000 0.0000 0.5000
0.0000 0.5000 0.0000
0.5000 0.0000 0.0000
```

Values from the calculation:
SG: P4/mmm
calculated density: 3.07 g/cm³
DOS at the Fermi energy: 8.22 states/eV per cell
energy above the most stable polymorph in this dataset: 0.024 eV per atom

---

4.
# Sm6AlCo2Cl3

A relaxed Sm6AlCo2Cl3 crystal (GGA-PBE, Alexandria).

Cell and atoms, written as POSCAR:
```
Sm6AlCo2Cl3
1.0
9.9616 -1.9306 0.0000
9.9616 1.9306 0.0000
-2.5773 0.0000 8.3506
Sm Al Co Cl
6 1 2 3
direct
0.0349 0.0349 0.2769
0.3137 0.3137 0.4215
0.3377 0.3377 0.8741
0.6623 0.6623 0.1259
0.6863 0.6863 0.5785
0.9651 0.9651 0.7231
0.5000 0.5000 0.0000
0.1729 0.1729 0.3498
0.8271 0.8271 0.6502
0.1777 0.1777 0.8526
0.5000 0.5000 0.5000
0.8223 0.8223 0.1474
```

Values from the calculation:
SG: C2/m
calculated density: 5.96 g/cm³
VASP energy: -61.54 eV/cell
DOS at the Fermi energy: 5.48 states/eV per cell

---

5.
# AlTlCoCl6

A relaxed AlTlCoCl6 crystal (GGA-PBE, Alexandria).

Cell and atoms, written as POSCAR:
```
AlTlCoCl6
1.0
3.1335 -5.4204 0.0000
3.1335 5.4204 0.0000
-0.0520 0.0000 7.2311
Al Tl Co Cl
1 1 1 6
direct
0.0000 0.0000 0.0000
0.3328 0.6672 0.5000
0.6654 0.3346 0.0000
0.3223 0.0320 0.1870
0.3221 0.2884 0.8138
0.7116 0.6779 0.1862
0.7157 0.0377 0.8108
0.9623 0.2843 0.1892
0.9680 0.6777 0.8130
```

Values from the calculation:
SG: C2
calculated density: 3.40 g/cm³
VASP energy: -34.00 eV/cell
DOS at the Fermi energy: 1.54 states/eV per cell

---

6.
# ZrAlCo2Cl

A relaxed ZrAlCo2Cl crystal (GGA-PBE, Alexandria).

Cell and atoms, written as POSCAR:
```
ZrAlCo2Cl
1.0
4.1435 0.0000 0.0000
0.0000 4.1435 0.0000
0.0000 0.0000 4.7703
Zr Al Co Cl
1 1 2 1
direct
0.0000 0.0000 0.0000
0.5000 0.5000 0.0000
0.0000 0.5000 0.5000
0.5000 0.0000 0.5000
0.0000 0.0000 0.5000
```

Values from the calculation:
SG: P4/mmm
calculated density: 5.51 g/cm³
VASP energy: -26.74 eV/cell
DOS at the Fermi energy: 9.05 states/eV per cell

---

7.
# AlCrCl

A relaxed AlCrCl crystal (GGA-PBE, Alexandria).

Cell and atoms, written as POSCAR:
```
AlCrCl
1.0
4.3357 0.0000 0.0000
-2.1678 3.7548 0.0000
0.0000 0.0000 3.1653
Al Cr Cl
1 1 1
direct
0.0000 0.0000 0.0000
0.6667 0.3333 0.5000
0.3333 0.6667 0.5000
```

Values from the calculation:
SG: P-6m2
calculated density: 3.69 g/cm³
DOS at the Fermi energy: 1.24 states/eV per cell
energy above the most stable polymorph in this dataset: 0.245 eV per atom

---

8.
# AlCr3Cl

A relaxed AlCr3Cl crystal (GGA-PBE, Alexandria).

Cell and atoms, written as POSCAR:
```
AlCr3Cl
1.0
4.1310 0.0000 0.0000
0.0000 4.1310 0.0000
0.0000 0.0000 4.1310
Al Cr Cl
1 3 1
direct
0.0000 0.0000 0.0000
0.0000 0.5000 0.5000
0.5000 0.0000 0.5000
0.5000 0.5000 0.0000
0.5000 0.5000 0.5000
```

Values from the calculation:
SG: Pm-3m
calculated density: 5.15 g/cm³
DOS at the Fermi energy: 5.69 states/eV per cell
energy above the most stable polymorph in this dataset: 0.000 eV per atom